[1]
# SbAuBr2 (GGA-PBE, optimized geometry)
# polymorph energy (0 for the lowest one) = 248 kJ/mol of formula units
# calculated volume = 24.7 A^3/atom
# total magnetic moment = 0.0 μB/cell
# E = -2.356 eV/atom
# ΔE_f (raw) = 0.3303 eV/atom
data_SbAuBr2
_cell_length_a 5.4372
_cell_length_b 5.4372
_cell_length_c 5.4372
_cell_angle_alpha 127.20
_cell_angle_beta 127.20
_cell_angle_gamma 77.92
_symmetry_space_group_name_H-M 'P 1'
_symmetry_Int_Tables_number 1
loop_
_symmetry_equiv_pos_as_xyz
'x,y,z'
loop_
_atom_site_label
_atom_site_fract_x
_atom_site_fract_y
_atom_site_fract_z
Sb1 0.0000 0.0000 0.0000
Au1 0.5000 0.5000 0.0000
Br1 0.2500 0.7500 0.5000
Br2 0.7500 0.2500 0.5000



[2]
# Sb2AuBr (GGA-PBE, optimized geometry)
# polymorph energy (0 for the lowest one) = 157 kJ/mol of formula units
# calculated volume = 35.8 A^3/atom
# total magnetic moment = 0.0 μB/cell
# E = -3.072 eV/atom
# ΔE_f (raw) = 0.2272 eV/atom
data_Sb2AuBr
_cell_length_a 8.0964
_cell_length_b 8.0964
_cell_length_c 8.0964
_cell_angle_alpha 132.08
_cell_angle_beta 132.08
_cell_angle_gamma 70.10
_symmetry_space_group_name_H-M 'P 1'
_symmetry_Int_Tables_number 1
loop_
_symmetry_equiv_pos_as_xyz
'x,y,z'
loop_
_atom_site_label
_atom_site_fract_x
_atom_site_fract_y
_atom_site_fract_z
Sb1 0.0677 0.6250 0.9427
Sb2 0.3750 0.3177 0.4427
Sb3 0.6823 0.1250 0.0573
Sb4 0.8750 0.9323 0.5573
Au1 0.0000 0.0000 0.0000
Au2 0.7500 0.2500 0.5000
Br1 0.2500 0.7500 0.5000
Br2 0.5000 0.5000 0.0000



[3]
# Sb2AuBr (GGA-PBE, optimized geometry)
# polymorph energy (0 for the lowest one) = 153 kJ/mol of formula units
# calculated volume = 24.7 A^3/atom
# total magnetic moment = 0.0 μB/cell
# E = -3.080 eV/atom
# ΔE_f (raw) = 0.2185 eV/atom
data_Sb2AuBr
_cell_length_a 5.1878
_cell_length_b 5.1878
_cell_length_c 5.1878
_cell_angle_alpha 60.00
_cell_angle_beta 60.00
_cell_angle_gamma 60.00
_symmetry_space_group_name_H-M 'P 1'
_symmetry_Int_Tables_number 1
loop_
_symmetry_equiv_pos_as_xyz
'x,y,z'
loop_
_atom_site_label
_atom_site_fract_x
_atom_site_fract_y
_atom_site_fract_z
Sb1 0.0000 0.0000 0.0000
Sb2 0.2500 0.2500 0.2500
Au1 0.7500 0.7500 0.7500
Br1 0.5000 0.5000 0.5000



[4]
# SbAuBr2 (GGA-PBE, optimized geometry)
# polymorph energy (0 for the lowest one) = 89 kJ/mol of formula units
# calculated volume = 30.3 A^3/atom
# total magnetic moment = 0.0 μB/cell
# E = -2.768 eV/atom
# ΔE_f (raw) = -0.0821 eV/atom
data_SbAuBr2
_cell_length_a 3.8386
_cell_length_b 3.8386
_cell_length_c 9.2866
_cell_angle_alpha 90.00
_cell_angle_beta 90.00
_cell_angle_gamma 117.78
_symmetry_space_group_name_H-M 'P 1'
_symmetry_Int_Tables_number 1
loop_
_symmetry_equiv_pos_as_xyz
'x,y,z'
loop_
_atom_site_label
_atom_site_fract_x
_atom_site_fract_y
_atom_site_fract_z
Sb1 0.0000 0.0000 0.0000
Au1 0.5000 0.5000 0.8024
Br1 0.0000 0.0000 0.6164
Br2 0.5000 0.5000 0.2373



[5]
# SbAu2Br (GGA-PBE, optimized geometry)
# polymorph energy (0 for the lowest one) = 146 kJ/mol of formula units
# calculated volume = 22.4 A^3/atom
# total magnetic moment = 0.0 μB/cell
# E = -2.768 eV/atom
# ΔE_f (raw) = 0.3197 eV/atom
data_SbAu2Br
_cell_length_a 5.2986
_cell_length_b 5.2986
_cell_length_c 5.2986
_cell_angle_alpha 127.97
_cell_angle_beta 127.97
_cell_angle_gamma 76.68
_symmetry_space_group_name_H-M 'P 1'
_symmetry_Int_Tables_number 1
loop_
_symmetry_equiv_pos_as_xyz
'x,y,z'
loop_
_atom_site_label
_atom_site_fract_x
_atom_site_fract_y
_atom_site_fract_z
Sb1 0.0000 0.0000 0.0000
Au1 0.2500 0.7500 0.5000
Au2 0.5000 0.5000 0.0000
Br1 0.7500 0.2500 0.5000



[6]
# SbAuSe2Br (GGA-PBE, optimized geometry)
# polymorph energy (0 for the lowest one) = 0 kJ/mol of formula units
# calculated volume = 26.9 A^3/atom
# total magnetic moment = 0.0 μB/cell
# E = -2.811 eV/atom
# ΔE_f (raw) = 0.3975 eV/atom
data_SbAuSe2Br
_cell_length_a 5.1684
_cell_length_b 5.1684
_cell_length_c 5.0385
_cell_angle_alpha 90.00
_cell_angle_beta 90.00
_cell_angle_gamma 90.00
_symmetry_space_group_name_H-M 'P 1'
_symmetry_Int_Tables_number 1
loop_
_symmetry_equiv_pos_as_xyz
'x,y,z'
loop_
_atom_site_label
_atom_site_fract_x
_atom_site_fract_y
_atom_site_fract_z
Sb1 0.0000 0.0000 0.0000
Au1 0.5000 0.5000 0.5000
Se1 0.0000 0.5000 0.5000
Se2 0.5000 0.0000 0.5000
Br1 0.5000 0.5000 0.0000